This record from Alexandria describes Li2PuAgGe2 after structural relaxation. The functional is PBE.

a = 4.4159 Å, b = 4.4159 Å, c = 6.5257 Å
α = 90.00°, β = 90.00°, γ = 120.00°
Last column: nearest neighbours and their distance in Å.
Element x y z (fractional)
Li: 0.3333 0.6667 0.1543  4 Ge 2.66-2.79, 3 Ag 2.74
Li: 0.6667 0.3333 0.8457  4 Ge 2.66-2.79, 3 Ag 2.74
Pu: 0.0000 0.0000 0.5000  6 Ge 2.95, 2 Ag 3.26
Ag: 0.0000 0.0000 0.0000  6 Li 2.74
Ge: 0.3333 0.6667 0.7274  4 Li 2.66-2.79, 3 Pu 2.95
Ge: 0.6667 0.3333 0.2726  4 Li 2.66-2.79, 3 Pu 2.95

Volume   110.20 Å³/cell
Symmetry   P-3m1

***

This record from Alexandria describes LiAgGeRu after structural relaxation. The functional is PBE.

a = 4.3161 Å, b = 4.3161 Å, c = 4.3161 Å
α = 60.00°, β = 60.00°, γ = 60.00°
Last column: nearest neighbours and their distance in Å.
Element x y z (fractional)
Li: 0.0000 0.0000 0.0000  4 Ag 2.64, 4 Ru 2.64
Ag: 0.7500 0.7500 0.7500  4 Ge 2.64, 4 Li 2.64
Ge: 0.5000 0.5000 0.5000  4 Ag 2.64, 4 Ru 2.64
Ru: 0.2500 0.2500 0.2500  4 Ge 2.64, 4 Li 2.64

Volume   56.85 Å³/cell
Symmetry   F-43m

***

Total energy across the listed records, respectively: -5.331 -4.716 eV/atom.
Energy of formation across the listed records, respectively: -0.29 -0.05 eV/atom.